1.
First-principles (GGA-PBE) data for an optimized crystal structure of YEr3S4, as listed in the Alexandria database.

Lattice parameters (Å, degrees): 5.4844 5.4844 5.4844 90.00 90.00 90.00
With the nearest neighbours (Å) after each atom.
Space group Pm-3m (No. 221)
One atom of each set of equivalent atoms:
Y 0.0000 0.0000 0.0000 [1 per cell]  6 S 2.74
Er 0.0000 0.5000 0.5000 [3 per cell]  6 S 2.74
S 0.0000 0.0000 0.5000 [3 per cell]  4 Er 2.74, 2 Y 2.74
S 0.5000 0.5000 0.5000 [1 per cell]  6 Er 2.74

## Properties
Electronic total energy in eV per cell: -52.28
Spin magnetization in μB/f.u.: 0.00
ΔE_f (raw) in eV per formula unit: -15.6

---

2.
First-principles (GGA-PBE) data for an optimized crystal structure of TaTi2W6, as listed in the Alexandria database.

Lattice parameters (Å, degrees): 2.8053 2.8053 22.3160 90.00 90.00 120.00
With the nearest neighbours (Å) after each atom.
Space group P-6m2 (No. 187)
One atom of each set of equivalent atoms:
Ta 0.0000 0.0000 0.0000 [1 per cell]  6 Ta 2.81, 6 W 3.01
Ti 0.3333 0.6667 0.3324 [2 per cell]  6 Ti 2.81, 6 W 2.92-2.94
W 0.0000 0.0000 0.2237 [2 per cell]  9 W 2.81-2.94, 3 Ti 2.92
W 0.0000 0.0000 0.4421 [2 per cell]  7 W 2.58-2.81
W 0.3333 0.6667 0.1136 [2 per cell]  9 W 2.81-2.94, 3 Ta 3.01

## Properties
Electronic total energy in eV per cell: -101.21
Spin magnetization in μB/f.u.: 0.00
Formation energy in eV/atom: 0.46

---

3.
First-principles (GGA-PBE) data for an optimized crystal structure of Ba2Tl7Cd2In, as listed in the Alexandria database.

Lattice parameters (Å, degrees): 7.9545 7.3274 13.7117 90.00 94.37 90.00
With the nearest neighbours (Å) after each atom.
Space group C2/m (No. 12)
One atom of each set of equivalent atoms:
Ba 0.0413 0.0000 0.3239 [4 per cell]  6 Tl 3.49-3.70, 2 Cd 3.76
Tl 0.0000 0.5000 0.0000 [2 per cell]  8 Tl 3.29-3.33, 2 Cd 3.60, 2 In 3.66
Tl 0.1794 0.5000 0.4674 [4 per cell]  1 Cd 2.97, 1 Tl 3.06
Tl 0.2345 0.2484 0.8604 [8 per cell]  2 Cd 3.15-3.22, 2 Tl 3.29-3.33, 2 In 3.30-3.32
Cd 0.0236 0.5000 0.2631 [4 per cell]  5 Tl 2.97-3.22
In 0.0000 0.0000 0.0000 [2 per cell]  10 Tl 3.30-3.66

## Properties
Electronic total energy in eV per cell: -53.36
Spin magnetization in μB/f.u.: 0.00
Formation energy in eV/atom: -0.14

---

4.
First-principles (GGA-PBE) data for an optimized crystal structure of Y4AgSeS2, as listed in the Alexandria database.

Lattice parameters (Å, degrees): 6.9627 3.9645 7.0945 90.00 108.52 90.00
With the nearest neighbours (Å) after each atom.
Space group P2/m (No. 10)
One atom of each set of equivalent atoms:
Y 0.2395 0.0000 0.2299 [2 per cell]  3 S 2.76-2.80, 1 Se 2.91, 2 Ag 2.95
Y 0.2543 0.5000 0.7691 [2 per cell]  3 S 2.77-2.79, 2 Se 2.93, 1 Ag 2.94
Ag 0.5000 0.5000 0.5000 [1 per cell]  6 Y 2.94-2.95
Se 0.0000 0.0000 0.5000 [1 per cell]  6 Y 2.91-2.93
S 0.0000 0.5000 0.0000 [1 per cell]  6 Y 2.76-2.77
S 0.5000 0.0000 0.0000 [1 per cell]  6 Y 2.79-2.80

## Properties
Electronic total energy in eV per cell: -52.25
Spin magnetization in μB/f.u.: 0.00
ΔE_f (raw) in eV per formula unit: -11.8

---

Repeat the second record exactly.
First-principles (GGA-PBE) data for an optimized crystal structure of TaTi2W6, as listed in the Alexandria database.

Lattice parameters (Å, degrees): 2.8053 2.8053 22.3160 90.00 90.00 120.00
With the nearest neighbours (Å) after each atom.
Space group P-6m2 (No. 187)
One atom of each set of equivalent atoms:
Ta 0.0000 0.0000 0.0000 [1 per cell]  6 Ta 2.81, 6 W 3.01
Ti 0.3333 0.6667 0.3324 [2 per cell]  6 Ti 2.81, 6 W 2.92-2.94
W 0.0000 0.0000 0.2237 [2 per cell]  9 W 2.81-2.94, 3 Ti 2.92
W 0.0000 0.0000 0.4421 [2 per cell]  7 W 2.58-2.81
W 0.3333 0.6667 0.1136 [2 per cell]  9 W 2.81-2.94, 3 Ta 3.01

## Properties
Electronic total energy in eV per cell: -101.21
Spin magnetization in μB/f.u.: 0.00
Formation energy in eV/atom: 0.46